{
  "formula": "CrTePt2",
  "functional": "PBE",
  "state": "optimized geometry",
  "e_tot_ev_per_atom": -6.178,
  "magmom_total_mub_per_atom": 0.88,
  "sg": "Cmmm",
  "raw_formation_energy_ev_per_fu": 0.14,
  "lattice": [[2.789, -3.441, 0.000], [2.789, 3.441, 0.000], [0.000, 0.000, 3.670]],
  "species": ["Cr", "Te", "Pt", "Pt"],
  "frac_coords": [[0.000, 0.000, 0.000], [0.500, 0.500, 0.000], [0.000, 0.500, 0.500], [0.500, 0.000, 0.500]]
}

***

{
  "formula": "Cd2Ge2Sb",
  "functional": "PBE",
  "state": "optimized geometry",
  "e_tot_ev_per_atom": -2.753,
  "magmom_total_mub_per_atom": 0.00,
  "relative_energy_mev_per_atom": 68.3,
  "sg": "I4/mmm",
  "raw_formation_energy_ev_per_fu": 1.42,
  "lattice": [[-2.297, 2.297, 5.693], [2.297, -2.297, 5.693], [2.297, 2.297, -5.693]],
  "species": ["Cd", "Cd", "Ge", "Ge", "Sb"],
  "frac_coords": [[0.250, 0.750, 0.500], [0.750, 0.250, 0.500], [0.107, 0.107, 0.000], [0.893, 0.893, 0.000], [0.500, 0.500, 0.000]]
}